LaDy2Os | PBE | optimized geometry

The value obtained for the calculated formation energy is -216 meV per atom. The value obtained for the energy above the most stable polymorph in this dataset is 0 meV per atom. Its density of states at the Fermi level is 16.189 states/eV per cell. Its total energy is -104.90 eV per cell.

The structure belongs to space group Pnma (No. 62); the cell edges are 7.4307, 9.3011 and 6.4903 Å and the angles 90.00°, 90.00° and 90.00°. The distinct sites, in fractional coordinates, are La at (0.0479, 0.2500, 0.1339), Dy at (0.1719, 0.0664, 0.6652) and Os at (0.1205, 0.7500, 0.4512).